## 1
Density functional theory data (GGA-PBE) for a geometry-optimized DyYSc4 structure.

Values from the calculation:
As for the spin magnetization: 0.0 μB per cell. Its symmetry is No. 15. The value obtained for the density of states at the Fermi level is 12.58 states/eV/f.u.

Lattice parameters (Å, degrees): 9.7728 9.7728 5.3060 90.02 90.02 140.61
Element x y z (fractional)
Dy: 0.1248 0.8752 0.7500
Dy: 0.8752 0.1248 0.2500
Y: 0.3748 0.6252 0.2500
Y: 0.6252 0.3748 0.7500
Sc: 0.0415 0.4581 0.7501
Sc: 0.2076 0.2909 0.7499
Sc: 0.2909 0.2076 0.2499
Sc: 0.4581 0.0415 0.2501
Sc: 0.5419 0.9585 0.7499
Sc: 0.7091 0.7924 0.7501
Sc: 0.7924 0.7091 0.2501
Sc: 0.9585 0.5419 0.2499

---

## 2
Density functional theory data (GGA-PBE) for a geometry-optimized DyYSc4 structure.

Values from the calculation:
As for the spin magnetization: 6.1 μB per cell. Its symmetry is No. 216. The value obtained for the density of states at the Fermi level is 13.13 states/eV/f.u.

Lattice parameters (Å, degrees): 6.2631 6.2631 6.2631 60.00 60.00 60.00
Element x y z (fractional)
Dy: 0.0000 0.0000 0.0000
Y: 0.2500 0.2500 0.2500
Sc: 0.1248 0.6251 0.6251
Sc: 0.6251 0.1248 0.6251
Sc: 0.6251 0.6251 0.1248
Sc: 0.6251 0.6251 0.6251

---

So which one wins? Going from most stable to least: 1, 2.

---

## 1
Density functional theory data (GGA-PBE) for a geometry-optimized DyY8Sc2 structure.

Values from the calculation:
As for the spin magnetization: 0.0 μB per cell. Its symmetry is No. 12. The value obtained for the density of states at the Fermi level is 19.01 states/eV/f.u.

Lattice parameters (Å, degrees): 9.2788 9.2788 6.3663 108.98 108.98 42.30
Element x y z (fractional)
Dy: 0.0000 0.0000 0.0000
Y: 0.1394 0.6559 0.2965
Y: 0.2098 0.2098 0.3214
Y: 0.3441 0.8606 0.7035
Y: 0.4316 0.4316 0.7582
Y: 0.5684 0.5684 0.2418
Y: 0.6559 0.1394 0.2965
Y: 0.7902 0.7902 0.6786
Y: 0.8606 0.3441 0.7035
Sc: 0.2748 0.2748 0.8919
Sc: 0.7252 0.7252 0.1081

---

## 2
Density functional theory data (GGA-PBE) for a geometry-optimized DyY8Sc2 structure.

Values from the calculation:
As for the spin magnetization: 0.0 μB per cell. Its symmetry is No. 12. The value obtained for the density of states at the Fermi level is 18.14 states/eV/f.u.

Lattice parameters (Å, degrees): 9.0554 9.0554 5.7698 104.93 104.93 121.25
Element x y z (fractional)
Dy: 0.0000 0.0000 0.0000
Y: 0.0967 0.3342 0.6645
Y: 0.2090 0.7910 0.0000
Y: 0.3342 0.0967 0.6645
Y: 0.4227 0.4227 0.2071
Y: 0.5773 0.5773 0.7929
Y: 0.6658 0.9033 0.3355
Y: 0.7910 0.2090 0.0000
Y: 0.9033 0.6658 0.3355
Sc: 0.3082 0.6918 0.5000
Sc: 0.6918 0.3082 0.5000

---

So which one wins? Going from most stable to least: 2, 1.